Entry 1:
# Ba2IrPb

Ba2IrPb after structural relaxation (PBE-GGA, Alexandria via LeMat-Bulk).

Summary:
The value obtained for the total magnetic moment is 0.000 μB per cell. The formation energy is 0.042 eV per atom. The calculation puts the density of states at the Fermi level at 3.33 states/eV/f.u. The calculation puts the theoretical density at 8.8 g cm⁻³.

Unit cell a=5.260 b=5.260 c=4.614 alpha=90.00 beta=90.00 gamma=90.00
Fractional positions:
Pb 0.000 0.500 0.500
Ir 0.500 0.000 0.500
Ba 0.000 0.000 0.000
Ba 0.500 0.500 0.000

---

Entry 2:
# NbBIN2

NbBIN2 after structural relaxation (PBE-GGA, Alexandria via LeMat-Bulk).

Summary:
The value obtained for the total magnetic moment is 0.018 μB per cell. The calculation puts the density of states at the Fermi level at 3.54 states/eV/f.u. Its energy above the most stable polymorph in this dataset is 720 meV/atom. For the energy relative to the elements, uncorrected, the calculation gives 9.38 eV/f.u. The calculation puts the theoretical density at 6.6 g cm⁻³.

Unit cell a=3.833 b=3.833 c=4.431 alpha=90.00 beta=90.00 gamma=90.00
Fractional positions:
I 0.000 0.000 0.500
Nb 0.500 0.500 0.500
B 0.000 0.000 0.000
N 0.000 0.500 0.000
N 0.500 0.000 0.000